[1]
# ZrMnP (GGA-PBEsol, relaxed)
data_ZrMnP
_chemical_formula_sum 'Zr4 Mn4 P4'
_cell_length_a 6.366
_cell_length_b 3.600
_cell_length_c 7.394
_cell_angle_alpha 90.00
_cell_angle_beta 90.00
_cell_angle_gamma 90.00
_symmetry_space_group_name_H-M 'P n m a'
_symmetry_Int_Tables_number 62
loop_
_symmetry_equiv_pos_as_xyz
'x,y,z'
'-x,-y,-z'
'-x+1/2,-y,z+1/2'
'x+1/2,y,-z+1/2'
'x+1/2,-y+1/2,-z+1/2'
'-x+1/2,y+1/2,z+1/2'
'-x,y+1/2,-z'
'x,-y+1/2,z'
loop_
_atom_site_label
_atom_site_fract_x
_atom_site_fract_y
_atom_site_fract_z
_atom_site_occupancy
Zr1 0.029 0.250 0.176 1
Mn1 0.136 0.250 0.560 1
P1 0.230 0.750 0.374 1
# - DFT total energy: -27.94 eV/f.u.
# - Magnetic moment: 1.881 μB/f.u.

***

[2]
# MnPb3 (GGA-PBEsol, relaxed)
data_MnPb3
_chemical_formula_sum 'Mn1 Pb3'
_cell_length_a 4.685
_cell_length_b 4.685
_cell_length_c 4.685
_cell_angle_alpha 90.00
_cell_angle_beta 90.00
_cell_angle_gamma 90.00
_symmetry_space_group_name_H-M 'P m -3 m'
_symmetry_Int_Tables_number 221
_symmetry_space_group_name_Hall '-P 4 2 3'
loop_
_atom_site_label
_atom_site_fract_x
_atom_site_fract_y
_atom_site_fract_z
_atom_site_occupancy
Mn1 0.000 0.000 0.000 1
Pb1 0.000 0.500 0.500 1
# - DFT total energy: -20.10 eV/f.u.
# - Magnetic moment: 4.258 μB/f.u.

***

[3]
# MnPb3 (GGA-PBEsol, relaxed)
data_MnPb3
_chemical_formula_sum 'Mn3 Pb9'
_cell_length_a 3.3772
_cell_length_b 3.3772
_cell_length_c 30.8371
_cell_angle_alpha 90.00
_cell_angle_beta 90.00
_cell_angle_gamma 120.00
_symmetry_space_group_name_H-M 'R -3 m'
_symmetry_Int_Tables_number 166
_symmetry_space_group_name_Hall '-R 3 2"'
loop_
_atom_site_label
_atom_site_fract_x
_atom_site_fract_y
_atom_site_fract_z
_atom_site_occupancy
Mn1 0.0000 0.0000 0.0000 1
Pb1 0.0000 0.0000 0.2622 1
Pb2 0.0000 0.0000 0.5000 1
# - DFT total energy: -20.31 eV/f.u.
# - Magnetic moment: 3.754 μB/f.u.

***

[4]
# MnPt2Pb (GGA-PBEsol, relaxed)
data_MnPt2Pb
_chemical_formula_sum 'Mn2 Pt4 Pb2'
_cell_length_a 5.660
_cell_length_b 5.651
_cell_length_c 5.035
_cell_angle_alpha 90.00
_cell_angle_beta 123.77
_cell_angle_gamma 90.00
_symmetry_space_group_name_H-M 'C 1 2 1'
_symmetry_Int_Tables_number 5
loop_
_symmetry_equiv_pos_as_xyz
'x,y,z'
'-x,y,-z'
'x+1/2,y+1/2,z'
'-x+1/2,y+1/2,-z'
loop_
_atom_site_label
_atom_site_fract_x
_atom_site_fract_y
_atom_site_fract_z
_atom_site_occupancy
Mn1 0.000 0.000 0.000 1
Pt1 0.000 0.247 0.500 1
Pt2 0.000 0.500 0.000 1
Pb1 0.000 0.748 0.500 1
# - DFT total energy: -27.63 eV/f.u.
# - Magnetic moment: 4.293 μB/f.u.

***

[5]
# MnPtPb2 (GGA-PBEsol, relaxed)
data_MnPtPb2
_chemical_formula_sum 'Mn2 Pt2 Pb4'
_cell_length_a 8.416
_cell_length_b 3.474
_cell_length_c 6.263
_cell_angle_alpha 90.00
_cell_angle_beta 102.31
_cell_angle_gamma 90.00
_symmetry_space_group_name_H-M 'C 1 m 1'
_symmetry_Int_Tables_number 8
loop_
_symmetry_equiv_pos_as_xyz
'x,y,z'
'x,-y,z'
'x+1/2,y+1/2,z'
'x+1/2,-y+1/2,z'
loop_
_atom_site_label
_atom_site_fract_x
_atom_site_fract_y
_atom_site_fract_z
_atom_site_occupancy
Mn1 0.000 0.000 0.000 1
Pt1 0.278 0.000 0.865 1
Pb1 0.032 0.500 0.619 1
Pb2 0.253 0.500 0.237 1
# - DFT total energy: -24.03 eV/f.u.
# - Magnetic moment: 3.829 μB/f.u.

***

[6]
# RbMn2RePb (GGA-PBEsol, relaxed)
data_RbMn2RePb
_chemical_formula_sum 'Rb1 Mn2 Re1 Pb1'
_cell_length_a 4.768
_cell_length_b 4.768
_cell_length_c 4.863
_cell_angle_alpha 90.00
_cell_angle_beta 90.00
_cell_angle_gamma 90.00
_symmetry_space_group_name_H-M 'P 4/m m m'
_symmetry_Int_Tables_number 123
_symmetry_space_group_name_Hall '-P 4 2'
loop_
_atom_site_label
_atom_site_fract_x
_atom_site_fract_y
_atom_site_fract_z
_atom_site_occupancy
Rb1 0.000 0.000 0.000 1
Mn1 0.000 0.500 0.000 1
Re1 0.000 0.000 0.500 1
Pb1 0.500 0.500 0.500 1
# - DFT total energy: -23.66 eV/f.u.
# - Magnetic moment: 8.159 μB/f.u.

***

[7]
# Mn3RePb (GGA-PBEsol, relaxed)
data_Mn3RePb
_chemical_formula_sum 'Mn3 Re1 Pb1'
_cell_length_a 4.825
_cell_length_b 4.825
_cell_length_c 4.825
_cell_angle_alpha 90.00
_cell_angle_beta 90.00
_cell_angle_gamma 90.00
_symmetry_space_group_name_H-M 'P m -3 m'
_symmetry_Int_Tables_number 221
_symmetry_space_group_name_Hall '-P 4 2 3'
loop_
_atom_site_label
_atom_site_fract_x
_atom_site_fract_y
_atom_site_fract_z
_atom_site_occupancy
Mn1 0.000 0.000 0.500 1
Re1 0.500 0.500 0.500 1
Pb1 0.000 0.000 0.000 1
# - DFT total energy: -34.54 eV/f.u.
# - Magnetic moment: 8.073 μB/f.u.

***

[8]
# Mn2RePb (GGA-PBEsol, relaxed)
data_Mn2RePb
_chemical_formula_sum 'Mn2 Re1 Pb1'
_cell_length_a 2.932
_cell_length_b 2.932
_cell_length_c 7.446
_cell_angle_alpha 90.00
_cell_angle_beta 90.00
_cell_angle_gamma 90.00
_symmetry_space_group_name_H-M 'P 4/m m m'
_symmetry_Int_Tables_number 123
_symmetry_space_group_name_Hall '-P 4 2'
loop_
_atom_site_label
_atom_site_fract_x
_atom_site_fract_y
_atom_site_fract_z
_atom_site_occupancy
Mn1 0.000 0.000 0.205 1
Re1 0.500 0.500 0.000 1
Pb1 0.500 0.500 0.500 1
# - DFT total energy: -34.80 eV/f.u.
# - Magnetic moment: 4.788 μB/f.u.

***

[9]
# Mn2RePb (GGA-PBEsol, relaxed)
data_Mn2RePb
_chemical_formula_sum 'Mn4 Re2 Pb2'
_cell_length_a 5.519
_cell_length_b 7.403
_cell_length_c 2.960
_cell_angle_alpha 90.00
_cell_angle_beta 90.00
_cell_angle_gamma 90.00
_symmetry_space_group_name_H-M 'C m m m'
_symmetry_Int_Tables_number 65
_symmetry_space_group_name_Hall '-C 2 2'
loop_
_atom_site_label
_atom_site_fract_x
_atom_site_fract_y
_atom_site_fract_z
_atom_site_occupancy
Mn1 0.250 0.250 0.000 1
Re1 0.000 0.000 0.500 1
Pb1 0.000 0.500 0.500 1
# - DFT total energy: -34.21 eV/f.u.
# - Magnetic moment: 4.909 μB/f.u.

***

[10]
# MnRe2Pb (GGA-PBEsol, relaxed)
data_MnRe2Pb
_chemical_formula_sum 'Mn1 Re2 Pb1'
_cell_length_a 2.920
_cell_length_b 3.867
_cell_length_c 5.776
_cell_angle_alpha 90.00
_cell_angle_beta 90.00
_cell_angle_gamma 90.00
_symmetry_space_group_name_H-M 'P m m 2'
_symmetry_Int_Tables_number 25
loop_
_symmetry_equiv_pos_as_xyz
'x,y,z'
'-x,-y,z'
'-x,y,z'
'x,-y,z'
loop_
_atom_site_label
_atom_site_fract_x
_atom_site_fract_y
_atom_site_fract_z
_atom_site_occupancy
Mn1 0.000 0.000 0.000 1
Re1 0.000 0.000 0.576 1
Re2 0.500 0.500 0.772 1
Pb1 0.500 0.500 0.267 1
# - DFT total energy: -37.97 eV/f.u.
# - Magnetic moment: 3.259 μB/f.u.

***

[11]
# Mn2RePb (GGA-PBEsol, relaxed)
data_Mn2RePb
_chemical_formula_sum 'Mn2 Re1 Pb1'
_cell_length_a 3.946
_cell_length_b 3.946
_cell_length_c 3.831
_cell_angle_alpha 90.00
_cell_angle_beta 90.00
_cell_angle_gamma 90.00
_symmetry_space_group_name_H-M 'P 4/m m m'
_symmetry_Int_Tables_number 123
_symmetry_space_group_name_Hall '-P 4 2'
loop_
_atom_site_label
_atom_site_fract_x
_atom_site_fract_y
_atom_site_fract_z
_atom_site_occupancy
Mn1 0.000 0.500 0.000 1
Re1 0.000 0.000 0.500 1
Pb1 0.500 0.500 0.500 1
# - DFT total energy: -34.09 eV/f.u.
# - Magnetic moment: 4.743 μB/f.u.

***

[12]
# Mn2RePb (GGA-PBEsol, relaxed)
data_Mn2RePb
_chemical_formula_sum 'Mn2 Re1 Pb1'
_cell_length_a 2.971
_cell_length_b 3.614
_cell_length_c 5.691
_cell_angle_alpha 90.00
_cell_angle_beta 90.00
_cell_angle_gamma 90.00
_symmetry_space_group_name_H-M 'P m m m'
_symmetry_Int_Tables_number 47
loop_
_symmetry_equiv_pos_as_xyz
'x,y,z'
'-x,-y,-z'
'-x,-y,z'
'x,y,-z'
'x,-y,-z'
'-x,y,z'
'-x,y,-z'
'x,-y,z'
loop_
_atom_site_label
_atom_site_fract_x
_atom_site_fract_y
_atom_site_fract_z
_atom_site_occupancy
Mn1 0.000 0.000 0.208 1
Re1 0.500 0.500 0.000 1
Pb1 0.500 0.500 0.500 1
# - DFT total energy: -34.74 eV/f.u.
# - Magnetic moment: 4.427 μB/f.u.